Record 1
Here is Li3ZrO after structural relaxation from Alexandria via LeMat-Bulk. Energies are from GGA-PBE.

Geometry as POSCAR:
```
Li3ZrO
1.0
-3.1228 0.4702 2.6282
2.4232 -1.1988 3.0937
1.1209 3.9015 0.6339
Li O Zr
3 1 1
direct
0.5000 0.0000 0.0000 Li
0.0000 0.5000 0.0000 Li
0.0000 0.0000 0.5000 Li
0.0000 0.0000 0.0000 O
0.5000 0.5000 0.5000 Zr
```

Results
The value obtained for the formation energy without anion corrections is -0.238 eV/atom. As for the electronic total energy: -20.44 eV per cell. For the size of the total moment, the calculation gives 0.00 μB per formula unit. As for the space group: No. 221.

Record 2
Here is Li3Os after structural relaxation from Alexandria via LeMat-Bulk. Energies are from GGA-PBE.

Geometry as POSCAR:
```
Li3Os
1.0
4.4676 0.0000 0.0000
0.0000 2.4928 0.0066
0.0000 0.4914 5.0406
Li Os
3 1
direct
0.0000 0.6042 0.4727 Li
0.0000 0.8958 0.0273 Li
0.5000 0.7500 0.7500 Li
0.5000 0.2500 0.2500 Os
```

Results
As for the electronic total energy: -16.31 eV per cell. For the size of the total moment, the calculation gives 0.00 μB per formula unit. As for the space group: No. 10.

Record 3
Here is LiOs2 after structural relaxation from Alexandria via LeMat-Bulk. Energies are from GGA-PBE.

Geometry as POSCAR:
```
LiOs2
1.0
1.3771 4.9907 0.0108
-1.3771 4.9907 0.0108
0.0000 1.2707 6.0137
Os Li
4 2
direct
0.8630 0.8630 0.5267 Os
0.5149 0.5149 0.2022 Os
0.4851 0.4851 0.7978 Os
0.1370 0.1370 0.4733 Os
0.7995 0.7995 0.1275 Li
0.2005 0.2005 0.8725 Li
```

Results
As for the electronic total energy: -47.50 eV per cell. For the size of the total moment, the calculation gives 0.00 μB per formula unit. As for the space group: No. 12.

Record 4
Here is LiOs after structural relaxation from Alexandria via LeMat-Bulk. Energies are from GGA-PBE.

Geometry as POSCAR:
```
LiOs
1.0
-2.3588 1.3496 3.1682
-2.4053 -2.6860 2.1031
0.9752 -1.0463 3.9214
Os Li
2 2
direct
0.5000 0.5000 0.5000 Os
0.2500 0.2500 0.2500 Os
0.0000 0.0000 0.0000 Li
0.7500 0.7500 0.7500 Li
```

Results
As for the electronic total energy: -26.02 eV per cell. For the size of the total moment, the calculation gives 0.00 μB per formula unit. As for the space group: No. 227.

Record 5
Here is LiOs3 after structural relaxation from Alexandria via LeMat-Bulk. Energies are from GGA-PBE.

Geometry as POSCAR:
```
LiOs3
1.0
3.9955 0.0000 0.0000
0.0000 2.6796 0.0024
0.0000 1.4935 5.0326
Os Li
3 1
direct
0.5000 0.8333 0.7658 Os
0.0000 0.5000 0.5000 Os
0.5000 0.1667 0.2342 Os
0.0000 0.0000 0.0000 Li
```

Results
As for the electronic total energy: -34.44 eV per cell. For the size of the total moment, the calculation gives 0.00 μB per formula unit. As for the space group: No. 10.

Record 6
Here is Li3Os after structural relaxation from Alexandria via LeMat-Bulk. Energies are from GGA-PBE.

Geometry as POSCAR:
```
Li3Os
1.0
-0.8075 3.6329 -3.0223
-2.9638 3.2675 -1.8771
1.0860 3.6345 3.2048
Os Li
1 3
direct
0.0000 0.0000 0.0000 Os
0.2525 0.2525 0.2213 Li
0.5000 0.5000 0.5000 Li
0.7475 0.7475 0.7787 Li
```

Results
As for the electronic total energy: -16.33 eV per cell. For the size of the total moment, the calculation gives 0.00 μB per formula unit. As for the space group: No. 12.

Record 7
Here is LiOs3 after structural relaxation from Alexandria via LeMat-Bulk. Energies are from GGA-PBE.

Geometry as POSCAR:
```
LiOs3
1.0
-0.1029 4.3844 0.8544
-4.4667 -0.1085 0.0190
0.0245 -0.5300 2.7226
Os Li
3 1
direct
0.5000 0.5000 0.0000 Os
0.5000 0.0000 0.5000 Os
0.0000 0.5000 0.5000 Os
0.0000 0.0000 0.0000 Li
```

Results
As for the electronic total energy: -33.79 eV per cell. For the size of the total moment, the calculation gives 0.00 μB per formula unit. As for the space group: No. 123.

Record 8
Here is LiOs after structural relaxation from Alexandria via LeMat-Bulk. Energies are from GGA-PBE.

Geometry as POSCAR:
```
LiOs
1.0
2.0779 -3.5991 0.0000
2.0779 3.5991 0.0000
0.0000 0.0000 8.9489
Os Li
4 4
direct
0.6667 0.3333 0.2500 Os
0.0000 0.0000 0.2500 Os
0.3333 0.6667 0.7500 Os
0.0000 0.0000 0.7500 Os
0.6667 0.3333 0.5638 Li
0.3333 0.6667 0.4362 Li
0.6667 0.3333 0.9362 Li
0.3333 0.6667 0.0638 Li
```

Results
As for the electronic total energy: -49.32 eV per cell. For the size of the total moment, the calculation gives 0.00 μB per formula unit. As for the space group: No. 194.